! GGA-PBE RbSiSeN2, relaxed; values from VASP
! ΔE to the lowest computed polymorph   0 meV/atom
! Formation energy from raw total energies   0.817 eV per atom
! Magnetic moment   2.06 Bohr magnetons per cell
! Calculated total energy   -22.44 eV/cell
! Crystal system   tetragonal
! Density of states at the Fermi level   3.10 states/eV per cell
&SYSTEM
  ibrav = 0, nat = 5, ntyp = 4
/
ATOMIC_SPECIES
Rb 85.47 Rb.upf
Si 28.09 Si.upf
Se 78.96 Se.upf
N 14.01 N.upf
CELL_PARAMETERS angstrom
4.0093 0.0000 0.0000
0.0000 4.0093 0.0000
0.0000 0.0000 5.0399
ATOMIC_POSITIONS crystal
Rb 0.0000 0.0000 0.0000
Si 0.5000 0.5000 0.5000
Se 0.5000 0.5000 0.0000
N 0.0000 0.5000 0.5000
N 0.5000 0.0000 0.5000